No. 1
4
Lattice="3.906 0.000 0.000 0.000 3.906 0.000 0.000 0.000 7.723" Properties=species:S:1:pos:R:3 comment="BaCaGa2 (PBE, optimized geometry)" delta_e_f_ev_per_atom=-0.39 spacegroup="No. 123" pbc="T T T"
Ba 0.000 0.000 0.000
Ca 0.000 0.000 3.861
Ga 1.953 1.953 2.340
Ga 1.953 1.953 5.383

=====

No. 2
5
Lattice="4.288 0.000 0.000 0.000 4.288 0.000 0.000 0.000 4.910" Properties=species:S:1:pos:R:3 comment="Li2YHgF (PBE, optimized geometry)" raw_formation_energy_mev_per_atom=-1217 spacegroup="No. 123" pbc="T T T"
Li 0.000 2.144 0.000
Li 2.144 0.000 0.000
Y 0.000 0.000 2.455
Hg 2.144 2.144 2.455
F 0.000 0.000 0.000

=====

No. 3
5
Lattice="6.260 0.000 0.000 0.000 6.260 0.000 0.000 0.000 5.004" Properties=species:S:1:pos:R:3 comment="CsCoBi2Rh (PBE, optimized geometry)" delta_e_f_ev_per_atom=2.19 spacegroup="No. 123" pbc="T T T"
Cs 0.000 0.000 0.000
Co 3.130 3.130 2.502
Bi 0.000 3.130 0.000
Bi 3.130 0.000 0.000
Rh 0.000 0.000 2.502

=====

No. 4
10
Lattice="7.865 0.000 0.000 0.000 4.240 0.000 -3.109 0.000 11.697" Properties=species:S:1:pos:R:3 comment="TlSn2SbSe (PBE, optimized geometry)" raw_formation_energy_mev_per_atom=-105 spacegroup="No. 11" pbc="T T T"
Tl 1.291 1.060 1.504
Tl 3.465 3.180 10.193
Sn -1.997 3.180 7.563
Sn 0.724 1.060 9.945
Sn 4.032 3.180 1.752
Sn 6.753 1.060 4.134
Sb -1.112 3.180 10.775
Sb 5.868 1.060 0.923
Se -0.289 1.060 7.039
Se 5.044 3.180 4.659

=====

No. 5
4
Lattice="5.634 -1.703 0.000 5.634 1.703 0.000 -2.236 0.000 5.153" Properties=species:S:1:pos:R:3 comment="CrPbCl2 (PBE, optimized geometry)" de_polymorph_ev_per_atom=0.085 raw_formation_energy_mev_per_atom=-443 spacegroup="No. 8" pbc="T T T"
Cr 0.000 0.000 0.000
Pb 1.749 0.000 2.636
Cl 4.240 0.000 1.004
Cl 4.947 0.000 4.430

=====

No. 6
8
Lattice="2.754 1.590 9.006 -2.754 1.590 9.006 0.000 -3.180 9.006" Properties=species:S:1:pos:R:3 comment="LaCeNd2In4 (PBE, optimized geometry)" delta_e_f_ev_per_atom=-0.45 spacegroup="No. 166" pbc="T T T"
La 0.000 0.000 0.000
Ce 0.000 0.000 13.509
Nd 0.000 0.000 6.759
Nd 0.000 0.000 20.259
In 0.000 0.000 3.402
In 0.000 0.000 10.155
In 0.000 0.000 16.862
In 0.000 0.000 23.616

=====

No. 7
12
Lattice="3.541 -6.133 0.000 3.541 6.133 0.000 -2.361 0.000 7.671" Properties=species:S:1:pos:R:3 comment="Rb3Tm2BiS6 (PBE, optimized geometry)" raw_formation_energy_mev_per_atom=-1496 spacegroup="No. 12" pbc="T T T"
Rb 0.000 0.000 0.000
Rb 3.541 2.008 0.000
Rb 3.541 -2.008 0.000
Tm 2.361 4.085 3.835
Tm 2.361 -4.085 3.835
Bi 2.361 0.000 3.835
S 1.138 2.118 2.356
S -0.086 0.000 5.308
S 1.138 -2.118 2.356
S 3.584 2.118 5.314
S 4.808 0.000 2.363
S 3.584 -2.118 5.314

=====

No. 8
5
Lattice="5.409 0.000 0.000 0.000 5.409 0.000 0.000 0.000 3.868" Properties=species:S:1:pos:R:3 comment="ReOsPb2F (PBE, optimized geometry)" raw_formation_energy_mev_per_atom=1040 spacegroup="No. 123" pbc="T T T"
Re 0.000 0.000 0.000
Os 2.705 2.705 1.934
Pb 0.000 2.705 0.000
Pb 2.705 0.000 0.000
F 0.000 0.000 1.934